An optimized crystal structure of LaCdPt3. Source: the Alexandria database, functional GGA-PBEsol.

Results
The calculation puts the density of states at the Fermi level at 0.61 states/eV per atom. For the formation enthalpy at 0 K, the calculation gives 0.24 eV per atom.

a = 4.8944 Å, b = 4.8944 Å, c = 4.8944 Å
α = 90.00°, β = 90.00°, γ = 90.00°
Space group Pm-3m (No. 221)
One atom of each set of equivalent atoms:
La 0.0000 0.0000 0.0000 (multiplicity 1)
Cd 0.5000 0.5000 0.5000 (multiplicity 1)
Pt 0.0000 0.5000 0.5000 (multiplicity 3)



An optimized crystal structure of CdCuMo3. Source: the Alexandria database, functional GGA-PBEsol.

Results
The calculation puts the density of states at the Fermi level at 0.74 states/eV per atom. For the formation enthalpy at 0 K, the calculation gives 1.54 eV per atom.

a = 4.4792 Å, b = 4.4792 Å, c = 4.4792 Å
α = 90.00°, β = 90.00°, γ = 90.00°
Space group Pm-3m (No. 221)
One atom of each set of equivalent atoms:
Cd 0.0000 0.0000 0.0000 (multiplicity 1)
Cu 0.5000 0.5000 0.5000 (multiplicity 1)
Mo 0.0000 0.5000 0.5000 (multiplicity 3)



An optimized crystal structure of YH2O. Source: the Alexandria database, functional GGA-PBEsol.

Results
The value obtained for the calculated total energy is -94.2 eV/cell. The calculation puts the density of states at the Fermi level at 0.15 states/eV per atom.

a = 3.1851 Å, b = 3.1851 Å, c = 17.3409 Å
α = 90.00°, β = 90.00°, γ = 90.00°
Space group I4_1/amd (No. 141, origin choice 2)
One atom of each set of equivalent atoms:
Y 0.0000 0.2500 0.3750 (multiplicity 4)
H 0.0000 0.0000 0.5000 (multiplicity 8)
O 0.0000 0.2500 0.8750 (multiplicity 4)



An optimized crystal structure of FePtSe2. Source: the Alexandria database, functional GGA-PBEsol.

Results
For the uncorrected formation energy, the calculation gives 0.068 eV per atom. The calculation puts the density of states at the Fermi level at 1.03 states/eV per atom.

a = 3.5651 Å, b = 3.5651 Å, c = 10.7680 Å
α = 90.00°, β = 90.00°, γ = 90.00°
Space group I4mm (No. 107)
One atom of each set of equivalent atoms:
Fe 0.0000 0.0000 0.0000 (multiplicity 2)
Pt 0.0000 0.0000 0.2360 (multiplicity 2)
Se 0.0000 0.0000 0.4825 (multiplicity 2)
Se 0.0000 0.0000 0.7685 (multiplicity 2)



An optimized crystal structure of SiSnRhO2. Source: the Alexandria database, functional GGA-PBEsol.

Results
For the uncorrected formation energy, the calculation gives 0.128 eV per atom. The calculation puts the density of states at the Fermi level at 0.68 states/eV per atom.

a = 3.7446 Å, b = 3.7446 Å, c = 6.4826 Å
α = 90.00°, β = 90.00°, γ = 90.00°
Space group P4/mmm (No. 123)
One atom of each set of equivalent atoms:
Si 0.0000 0.0000 0.0000 (multiplicity 1)
Sn 0.0000 0.0000 0.5000 (multiplicity 1)
Rh 0.5000 0.5000 0.0000 (multiplicity 1)
O 0.0000 0.5000 0.5000 (multiplicity 2)



An optimized crystal structure of Tm2InOs. Source: the Alexandria database, functional GGA-PBEsol.

Results
The calculation puts the density of states at the Fermi level at 0.50 states/eV per atom. For the formation enthalpy at 0 K, the calculation gives -0.31 eV per atom.

a = 6.9312 Å, b = 6.9312 Å, c = 6.9312 Å
α = 90.00°, β = 90.00°, γ = 90.00°
Space group Fm-3m (No. 225)
One atom of each set of equivalent atoms:
Tm 0.2500 0.2500 0.2500 (multiplicity 8)
In 0.0000 0.0000 0.0000 (multiplicity 4)
Os 0.0000 0.0000 0.5000 (multiplicity 4)



An optimized crystal structure of CoSn2Te2. Source: the Alexandria database, functional GGA-PBEsol.

Results
For the uncorrected formation energy, the calculation gives 0.735 eV per atom. The calculation puts the density of states at the Fermi level at 1.48 states/eV per atom.

a = 4.0153 Å, b = 4.0153 Å, c = 17.2073 Å
α = 90.00°, β = 90.00°, γ = 90.00°
Space group I4/mmm (No. 139)
One atom of each set of equivalent atoms:
Co 0.0000 0.0000 0.0000 (multiplicity 2)
Sn 0.0000 0.0000 0.4174 (multiplicity 4)
Te 0.0000 0.5000 0.2500 (multiplicity 4)



An optimized crystal structure of MnSi2Pb. Source: the Alexandria database, functional GGA-PBEsol.

Results
For the uncorrected formation energy, the calculation gives 0.400 eV per atom. The calculation puts the density of states at the Fermi level at 0.58 states/eV per atom.

a = 4.4368 Å, b = 4.4368 Å, c = 16.0466 Å
α = 90.00°, β = 90.00°, γ = 90.00°
Space group I-42d (No. 122)
One atom of each set of equivalent atoms:
Mn 0.0000 0.0000 0.0000 (multiplicity 4)
Si 0.1168 0.2500 0.1250 (multiplicity 8)
Pb 0.0000 0.0000 0.5000 (multiplicity 4)



What is the formula in the sixth record?
Tm2InOs



Repeat the first record exactly.
An optimized crystal structure of LaCdPt3. Source: the Alexandria database, functional GGA-PBEsol.

Results
The calculation puts the density of states at the Fermi level at 0.61 states/eV per atom. For the formation enthalpy at 0 K, the calculation gives 0.24 eV per atom.

a = 4.8944 Å, b = 4.8944 Å, c = 4.8944 Å
α = 90.00°, β = 90.00°, γ = 90.00°
Space group Pm-3m (No. 221)
One atom of each set of equivalent atoms:
La 0.0000 0.0000 0.0000 (multiplicity 1)
Cd 0.5000 0.5000 0.5000 (multiplicity 1)
Pt 0.0000 0.5000 0.5000 (multiplicity 3)